# InAu

A PBEsol-optimized structure of InAu (meta-GGA SCAN, Alexandria).

Cell lengths 3.7451, 3.7451, 10.8049 Å; angles 90.00, 90.00, 120.00 degrees
Closest atoms and distances in Å follow each position.
Element x y z (fractional)
In: 0.0000 0.0000 0.0000  6 Au 2.81
In: 0.3333 0.6667 0.6667  6 Au 2.81
In: 0.6667 0.3333 0.3333  6 Au 2.81
Au: 0.0000 0.0000 0.5000  6 In 2.81
Au: 0.3333 0.6667 0.1667  6 In 2.81
Au: 0.6667 0.3333 0.8333  6 In 2.81

Summary:
space group: R-3m, No. 166
formation enthalpy at 0 K: -0.245 eV/atom
M_tot: 0.000 μB per formula unit

---

# MgAu

A PBEsol-optimized structure of MgAu (meta-GGA SCAN, Alexandria).

Cell lengths 3.5496, 3.5496, 5.7163 Å; angles 90.00, 90.00, 90.00 degrees
Closest atoms and distances in Å follow each position.
Element x y z (fractional)
Mg: 0.2500 0.2500 0.1577  6 Au 2.74-2.90
Mg: 0.7500 0.7500 0.8423  6 Au 2.74-2.90
Au: 0.2500 0.2500 0.6511  6 Mg 2.74-2.90, 4 Au 3.05
Au: 0.7500 0.7500 0.3489  6 Mg 2.74-2.90, 4 Au 3.05

Summary:
space group: P4/nmm, No. 129
formation enthalpy at 0 K: -0.616 eV/atom
M_tot: 0.000 μB per formula unit

---

# YCo2Re

A PBEsol-optimized structure of YCo2Re (meta-GGA SCAN, Alexandria).

Cell lengths 2.7363, 4.3928, 9.5827 Å; angles 90.00, 90.00, 90.00 degrees
Closest atoms and distances in Å follow each position.
Element x y z (fractional)
Y: 0.0000 0.0000 0.0000  4 Co 2.59, 2 Y 2.74
Y: 0.5000 0.5000 0.5000  4 Co 2.59, 2 Y 2.74
Co: 0.0000 0.0000 0.4946  4 Co 2.51-2.74, 2 Re 2.51, 4 Y 2.59
Co: 0.0000 0.5000 0.7756  4 Co 2.51-2.74, 4 Re 2.65
Co: 0.5000 0.0000 0.2756  4 Co 2.51-2.74, 4 Re 2.65
Co: 0.5000 0.5000 0.9946  4 Co 2.51-2.74, 2 Re 2.51, 4 Y 2.59
Re: 0.0000 0.5000 0.2145  6 Co 2.51-2.65, 2 Re 2.74
Re: 0.5000 0.0000 0.7145  6 Co 2.51-2.65, 2 Re 2.74

Summary:
energy above the lowest structure with this stoichiometry: 183 meV per atom
space group: Imm2, No. 44
formation enthalpy at 0 K: 0.481 eV/atom
M_tot: 0.010 μB per formula unit